First-principles (GGA-PBE) data for a geometry-optimized LaNiIr2 structure, as listed in Alexandria.

Formation enthalpy at 0 K: 0.091 eV/f.u.
DFT total energy: -28.34 eV/f.u.
Calculated density: 13.9 g/cm³
ΔE to the lowest computed polymorph: 0.577 eV/atom

abc: 5.057 5.057 5.057
angles: 132.17 132.17 69.97
Sites, in units of the cell vectors:
La: 0.000 0.000 0.000
Ni: 0.500 0.500 0.000
Ir: 0.250 0.750 0.500
Ir: 0.750 0.250 0.500